1.
Computed, not measured: crystalline PaAgMo at its relaxed geometry at the PBE level of DFT.

```
6
Lattice="3.7669 0.0000 0.0000 0.0000 3.7669 0.0000 0.0000 0.0000 8.9270" Properties=species:S:1:pos:R:3 pbc="T T T"
Pa 0.9417 0.9417 1.9640
Pa 2.8252 2.8252 6.9630
Ag 0.9417 0.9417 5.1060
Ag 2.8252 2.8252 3.8210
Mo 0.9417 0.9417 8.4523
Mo 2.8252 2.8252 0.4747
```

Calculated values
* formation enthalpy at 0 K: 0.2401 eV/atom

2.
Computed, not measured: crystalline HgW at its relaxed geometry at the PBE level of DFT.

```
4
Lattice="2.4369 -5.3553 0.0000 2.4369 5.3553 0.0000 0.0000 0.0000 3.1308" Properties=species:S:1:pos:R:3 pbc="T T T"
Hg 2.4369 3.9507 2.3481
Hg 2.4369 -3.9507 0.7827
W 2.4369 0.9518 2.3481
W 2.4369 -0.9518 0.7827
```

Calculated values
* offset from the most stable computed form: 70 kJ/mol of formula units
* formation enthalpy at 0 K: 0.8669 eV/atom

3.
Computed, not measured: crystalline La3SiBi at its relaxed geometry at the PBE level of DFT.

```
5
Lattice="5.6624 0.0000 0.0000 0.0000 5.6624 0.0000 0.0000 0.0000 5.6624" Properties=species:S:1:pos:R:3 pbc="T T T"
La 0.0000 0.0000 2.8312
La 0.0000 2.8312 0.0000
La 2.8312 0.0000 0.0000
Si 0.0000 0.0000 0.0000
Bi 2.8312 2.8312 2.8312
```

Calculated values
* offset from the most stable computed form: 90 kJ/mol of formula units
* formation energy (no corrections): -465 meV per atom

4.
Computed, not measured: crystalline La3Pm4Nd4 at its relaxed geometry at the PBE level of DFT.

```
11
Lattice="-1.8250 5.7754 9.5352 1.8250 -5.7754 9.5352 1.8250 5.7754 -9.5352" Properties=species:S:1:pos:R:3 pbc="T T T"
La 0.0000 0.0000 0.0000
La 1.8250 0.0000 7.5530
La 0.0000 5.7754 1.9823
Pm 0.0000 0.0000 4.2713
Pm 1.8250 3.3264 0.0000
Pm 0.0000 2.4490 9.5352
Pm 0.0000 0.0000 14.7992
Nd 1.8250 2.7566 -3.2321
Nd 1.8250 2.7566 3.2321
Nd 0.0000 3.0188 6.3032
Nd 0.0000 3.0188 12.7673
```

Calculated values
* offset from the most stable computed form: 14 kJ/mol of formula units
* formation enthalpy at 0 K: 0.1526 eV/atom

5.
Computed, not measured: crystalline InTc2Se at its relaxed geometry at the PBE level of DFT.

```
4
Lattice="-2.1019 2.1019 3.8588 2.1019 -2.1019 3.8588 2.1019 2.1019 -3.8588" Properties=species:S:1:pos:R:3 pbc="T T T"
In 0.0000 0.0000 0.0000
Tc 0.0000 0.0000 3.8588
Tc 0.0000 2.1019 1.9294
Se 2.1019 0.0000 1.9294
```

Calculated values
* offset from the most stable computed form: 185 kJ/mol of formula units
* formation energy (no corrections): 551 meV per atom

6.
Computed, not measured: crystalline Ni2TeBr at its relaxed geometry at the PBE level of DFT.

```
4
Lattice="3.5707 -3.5687 0.0000 3.5707 3.5687 0.0000 -0.1661 0.0000 3.2824" Properties=species:S:1:pos:R:3 pbc="T T T"
Ni 1.7853 1.7844 0.0000
Ni 1.7853 -1.7844 0.0000
Te 0.0000 0.0000 0.0000
Br 3.5707 0.0000 0.0000
```

Calculated values
* offset from the most stable computed form: 155 kJ/mol of formula units
* formation energy (no corrections): 315 meV per atom

no.,theoretical density (g/cm3)
1,11.4
2,15.6
3,6.0
4,6.5
5,9.5
6,6.4